The following is a DFT calculation (GGA-PBE) of an optimized crystal structure of ZnIr.

Space-group type ... F-43m
ΔE_f ... 1365.0 meV per atom
VASP energy ... -3.695 eV/atom

Unit cell a=3.935 b=3.935 c=3.935 alpha=60.00 beta=60.00 gamma=60.00
Positions (direct):
Zn1 0.000 0.000 0.000
Ir1 0.250 0.250 0.250



The following is a DFT calculation (GGA-PBE) of an optimized crystal structure of ZnIr.

Space-group type ... P2_1/m
ΔE_f ... -130.6 meV per atom
VASP energy ... -5.190 eV/atom

Unit cell a=5.283 b=4.513 c=7.204 alpha=90.00 beta=96.00 gamma=90.00
Positions (direct):
Zn1 0.037 0.250 0.106
Zn2 0.294 0.750 0.227
Zn3 0.372 0.250 0.439
Zn4 0.628 0.750 0.561
Zn5 0.706 0.250 0.773
Zn6 0.963 0.750 0.894
Ir1 0.128 0.750 0.560
Ir2 0.206 0.250 0.773
Ir3 0.463 0.750 0.894
Ir4 0.537 0.250 0.106
Ir5 0.794 0.750 0.227
Ir6 0.872 0.250 0.440



The following is a DFT calculation (GGA-PBE) of an optimized crystal structure of ZnIr2.

Space-group type ... Fd-3m
ΔE_f ... 3396.7 meV per atom
VASP energy ... -2.928 eV/atom

Unit cell a=7.740 b=7.740 c=7.740 alpha=60.00 beta=60.00 gamma=60.00
Positions (direct):
Zn1 0.125 0.125 0.125
Zn2 0.875 0.875 0.875
Ir1 0.000 0.000 0.000
Ir2 0.000 0.000 0.500
Ir3 0.000 0.500 0.000
Ir4 0.500 0.000 0.000



The following is a DFT calculation (GGA-PBE) of an optimized crystal structure of ZnIr15.

Space-group type ... P2_1/m
ΔE_f ... 147.7 meV per atom
Energy relative to the lowest polymorph listed for this composition ... 45 meV per atom
VASP energy ... -8.233 eV/atom

Unit cell a=7.728 b=2.727 c=35.573 alpha=90.00 beta=90.00 gamma=90.00
Positions (direct):
Zn1 0.125 0.250 0.214
Zn2 0.875 0.750 0.786
Ir1 0.125 0.250 0.289
Ir2 0.125 0.250 0.365
Ir3 0.125 0.250 0.442
Ir4 0.125 0.250 0.519
Ir5 0.125 0.250 0.673
Ir6 0.126 0.250 0.596
Ir7 0.127 0.250 0.752
Ir8 0.375 0.750 0.327
Ir9 0.375 0.750 0.480
Ir10 0.375 0.750 0.558
Ir11 0.375 0.750 0.635
Ir12 0.375 0.750 0.711
Ir13 0.375 0.750 0.785
Ir14 0.376 0.750 0.404
Ir15 0.377 0.750 0.248
Ir16 0.623 0.250 0.752
Ir17 0.624 0.250 0.596
Ir18 0.625 0.250 0.215
Ir19 0.625 0.250 0.289
Ir20 0.625 0.250 0.365
Ir21 0.625 0.250 0.442
Ir22 0.625 0.250 0.520
Ir23 0.625 0.250 0.673
Ir24 0.873 0.750 0.248
Ir25 0.874 0.750 0.404
Ir26 0.875 0.750 0.327
Ir27 0.875 0.750 0.481
Ir28 0.875 0.750 0.558
Ir29 0.875 0.750 0.635
Ir30 0.875 0.750 0.711